No. 1
First-principles (PBE-GGA) data for a geometry-optimized SrCSeN2 structure, as listed in Alexandria via LeMat-Bulk.

Cell and atoms, written as POSCAR:
```
SrCSeN2
1.0
4.133 0.000 0.000
0.000 4.133 0.000
0.000 0.000 4.197
Se N C Sr
1 2 1 1
direct
0.000 0.000 0.500 Se
0.500 0.000 0.000 N
0.000 0.500 0.000 N
0.000 0.000 0.000 C
0.500 0.500 0.500 Sr
```

Results
DOS(E_F)	3.36	states/eV per cell
relative energy among the computed polymorphs	0	meV per atom

No. 2
First-principles (PBE-GGA) data for a geometry-optimized BaSrCaAg structure, as listed in Alexandria via LeMat-Bulk.

Cell and atoms, written as POSCAR:
```
BaSrCaAg
1.0
4.066 0.000 0.005
0.000 4.066 -0.005
-0.013 0.013 9.913
Sr Ba Ag Ca
1 1 1 1
direct
0.147 0.853 0.693 Sr
0.646 0.354 0.036 Ba
0.146 0.854 0.256 Ag
0.646 0.354 0.404 Ca
```

Results
E_form	-0.50	eV/f.u.
DOS(E_F)	3.32	states/eV per cell